--- w ---
# Pr6CdHg | Alexandria | PBE | optimized geometry
data_Pr6CdHg
_chemical_formula_sum 'Pr6 Cd1 Hg1'
_space_group_name_H-M_alt 'P 1'
_space_group_IT_number 1
_space_group_name_Hall 'P 1'
_cell_length_a 9.874
_cell_length_b 9.874
_cell_length_c 9.874
_cell_angle_alpha 148.57
_cell_angle_beta 148.57
_cell_angle_gamma 45.04
loop_
_atom_site_label
_atom_site_type_symbol
_atom_site_fract_x
_atom_site_fract_y
_atom_site_fract_z
_atom_site_occupancy
Pr1 Pr 0.111 0.611 0.500 1
Pr2 Pr 0.249 0.249 0.000 1
Pr3 Pr 0.389 0.889 0.500 1
Pr4 Pr 0.611 0.111 0.500 1
Pr5 Pr 0.751 0.751 0.000 1
Pr6 Pr 0.889 0.389 0.500 1
Cd1 Cd 0.000 0.000 0.000 1
Hg1 Hg 0.500 0.500 0.000 1
# Magnetic moment ... 0.0 μB per formula unit
# Crystal system ... tetragonal

--- x ---
# Pr6CdHg | Alexandria | PBE | optimized geometry
data_Pr6CdHg
_chemical_formula_sum 'Pr6 Cd1 Hg1'
_space_group_name_H-M_alt 'P 1'
_space_group_IT_number 1
_space_group_name_Hall 'P 1'
_cell_length_a 6.374
_cell_length_b 6.382
_cell_length_c 6.390
_cell_angle_alpha 92.30
_cell_angle_beta 92.52
_cell_angle_gamma 92.68
loop_
_atom_site_label
_atom_site_type_symbol
_atom_site_fract_x
_atom_site_fract_y
_atom_site_fract_z
_atom_site_occupancy
Pr1 Pr 0.026 0.253 0.046 1
Pr2 Pr 0.248 0.956 0.470 1
Pr3 Pr 0.456 0.471 0.747 1
Pr4 Pr 0.544 0.529 0.253 1
Pr5 Pr 0.752 0.044 0.530 1
Pr6 Pr 0.974 0.747 0.954 1
Cd1 Cd 0.500 0.000 0.000 1
Hg1 Hg 0.000 0.500 0.500 1
# Magnetic moment ... 0.0 μB per formula unit
# Crystal system ... triclinic

The most stable of them is w.

--- w ---
# Pr8CdHg2 | Alexandria | PBE | optimized geometry
data_Pr8CdHg2
_chemical_formula_sum 'Pr8 Cd1 Hg2'
_space_group_name_H-M_alt 'P 1'
_space_group_IT_number 1
_space_group_name_Hall 'P 1'
_cell_length_a 8.851
_cell_length_b 8.851
_cell_length_c 8.882
_cell_angle_alpha 119.67
_cell_angle_beta 119.67
_cell_angle_gamma 36.84
loop_
_atom_site_label
_atom_site_type_symbol
_atom_site_fract_x
_atom_site_fract_y
_atom_site_fract_z
_atom_site_occupancy
Pr1 Pr 0.071 0.071 0.223 1
Pr2 Pr 0.138 0.138 0.693 1
Pr3 Pr 0.320 0.320 0.549 1
Pr4 Pr 0.407 0.407 0.050 1
Pr5 Pr 0.593 0.593 0.950 1
Pr6 Pr 0.680 0.680 0.451 1
Pr7 Pr 0.862 0.862 0.307 1
Pr8 Pr 0.929 0.929 0.777 1
Cd1 Cd 0.500 0.500 0.500 1
Hg1 Hg 0.230 0.230 0.123 1
Hg2 Hg 0.770 0.770 0.877 1
# Magnetic moment ... 0.0 μB per formula unit
# Crystal system ... monoclinic

--- x ---
# Pr8CdHg2 | Alexandria | PBE | optimized geometry
data_Pr8CdHg2
_chemical_formula_sum 'Pr8 Cd1 Hg2'
_space_group_name_H-M_alt 'P 1'
_space_group_IT_number 1
_space_group_name_Hall 'P 1'
_cell_length_a 9.466
_cell_length_b 9.466
_cell_length_c 8.076
_cell_angle_alpha 110.91
_cell_angle_beta 110.91
_cell_angle_gamma 32.05
loop_
_atom_site_label
_atom_site_type_symbol
_atom_site_fract_x
_atom_site_fract_y
_atom_site_fract_z
_atom_site_occupancy
Pr1 Pr 0.036 0.036 0.259 1
Pr2 Pr 0.185 0.185 0.779 1
Pr3 Pr 0.327 0.327 0.542 1
Pr4 Pr 0.411 0.411 0.044 1
Pr5 Pr 0.589 0.589 0.956 1
Pr6 Pr 0.673 0.673 0.458 1
Pr7 Pr 0.815 0.815 0.221 1
Pr8 Pr 0.964 0.964 0.741 1
Cd1 Cd 0.500 0.500 0.500 1
Hg1 Hg 0.191 0.191 0.170 1
Hg2 Hg 0.809 0.809 0.830 1
# Magnetic moment ... 0.0 μB per formula unit
# Crystal system ... monoclinic

The most stable of them is w.

--- w ---
# PrCd3Hg3 | Alexandria | PBE | optimized geometry
data_PrCd3Hg3
_chemical_formula_sum 'Pr2 Cd6 Hg6'
_space_group_name_H-M_alt 'P 1'
_space_group_IT_number 1
_space_group_name_Hall 'P 1'
_cell_length_a 8.804
_cell_length_b 8.804
_cell_length_c 5.206
_cell_angle_alpha 90.00
_cell_angle_beta 90.00
_cell_angle_gamma 120.00
loop_
_atom_site_label
_atom_site_type_symbol
_atom_site_fract_x
_atom_site_fract_y
_atom_site_fract_z
_atom_site_occupancy
Pr1 Pr 0.333 0.667 0.250 1
Pr2 Pr 0.667 0.333 0.750 1
Cd1 Cd 0.032 0.805 0.250 1
Cd2 Cd 0.195 0.226 0.250 1
Cd3 Cd 0.226 0.032 0.750 1
Cd4 Cd 0.774 0.968 0.250 1
Cd5 Cd 0.805 0.774 0.750 1
Cd6 Cd 0.968 0.195 0.750 1
Hg1 Hg 0.090 0.627 0.750 1
Hg2 Hg 0.373 0.463 0.750 1
Hg3 Hg 0.463 0.090 0.250 1
Hg4 Hg 0.537 0.910 0.750 1
Hg5 Hg 0.627 0.537 0.250 1
Hg6 Hg 0.910 0.373 0.250 1
# Magnetic moment ... 0.0 μB per formula unit
# Crystal system ... hexagonal

--- x ---
# PrCd3Hg3 | Alexandria | PBE | optimized geometry
data_PrCd3Hg3
_chemical_formula_sum 'Pr2 Cd6 Hg6'
_space_group_name_H-M_alt 'P 1'
_space_group_IT_number 1
_space_group_name_Hall 'P 1'
_cell_length_a 7.728
_cell_length_b 7.728
_cell_length_c 7.728
_cell_angle_alpha 90.00
_cell_angle_beta 90.00
_cell_angle_gamma 90.00
loop_
_atom_site_label
_atom_site_type_symbol
_atom_site_fract_x
_atom_site_fract_y
_atom_site_fract_z
_atom_site_occupancy
Pr1 Pr 0.000 0.000 0.000 1
Pr2 Pr 0.500 0.500 0.500 1
Cd1 Cd 0.000 0.250 0.500 1
Cd2 Cd 0.000 0.750 0.500 1
Cd3 Cd 0.250 0.500 0.000 1
Cd4 Cd 0.500 0.000 0.250 1
Cd5 Cd 0.500 0.000 0.750 1
Cd6 Cd 0.750 0.500 0.000 1
Hg1 Hg 0.000 0.500 0.250 1
Hg2 Hg 0.000 0.500 0.750 1
Hg3 Hg 0.250 0.000 0.500 1
Hg4 Hg 0.500 0.250 0.000 1
Hg5 Hg 0.500 0.750 0.000 1
Hg6 Hg 0.750 0.000 0.500 1
# Magnetic moment ... 0.0 μB per formula unit
# Crystal system ... cubic

The most stable of them is w.

--- w ---
# Pr6Cd2Hg | Alexandria | PBE | optimized geometry
data_Pr6Cd2Hg
_chemical_formula_sum 'Pr12 Cd4 Hg2'
_space_group_name_H-M_alt 'P 1'
_space_group_IT_number 1
_space_group_name_Hall 'P 1'
_cell_length_a 6.599
_cell_length_b 8.850
_cell_length_c 11.405
_cell_angle_alpha 90.00
_cell_angle_beta 118.12
_cell_angle_gamma 90.00
loop_
_atom_site_label
_atom_site_type_symbol
_atom_site_fract_x
_atom_site_fract_y
_atom_site_fract_z
_atom_site_occupancy
Pr1 Pr 0.069 0.063 0.222 1
Pr2 Pr 0.069 0.437 0.722 1
Pr3 Pr 0.174 0.713 0.070 1
Pr4 Pr 0.174 0.787 0.570 1
Pr5 Pr 0.404 0.153 0.046 1
Pr6 Pr 0.404 0.347 0.546 1
Pr7 Pr 0.596 0.653 0.454 1
Pr8 Pr 0.596 0.847 0.954 1
Pr9 Pr 0.826 0.213 0.430 1
Pr10 Pr 0.826 0.287 0.930 1
Pr11 Pr 0.931 0.563 0.278 1
Pr12 Pr 0.931 0.937 0.778 1
Cd1 Cd 0.324 0.111 0.730 1
Cd2 Cd 0.324 0.389 0.230 1
Cd3 Cd 0.676 0.611 0.770 1
Cd4 Cd 0.676 0.889 0.270 1
Hg1 Hg 0.500 0.000 0.500 1
Hg2 Hg 0.500 0.500 0.000 1
# Magnetic moment ... 0.0 μB per formula unit
# Crystal system ... monoclinic

--- x ---
# Pr6Cd2Hg | Alexandria | PBE | optimized geometry
data_Pr6Cd2Hg
_chemical_formula_sum 'Pr6 Cd2 Hg1'
_space_group_name_H-M_alt 'P 1'
_space_group_IT_number 1
_space_group_name_Hall 'P 1'
_cell_length_a 5.590
_cell_length_b 5.590
_cell_length_c 10.482
_cell_angle_alpha 90.00
_cell_angle_beta 90.00
_cell_angle_gamma 120.00
loop_
_atom_site_label
_atom_site_type_symbol
_atom_site_fract_x
_atom_site_fract_y
_atom_site_fract_z
_atom_site_occupancy
Pr1 Pr 0.000 0.000 0.179 1
Pr2 Pr 0.000 0.000 0.821 1
Pr3 Pr 0.333 0.667 0.019 1
Pr4 Pr 0.333 0.667 0.390 1
Pr5 Pr 0.667 0.333 0.610 1
Pr6 Pr 0.667 0.333 0.981 1
Cd1 Cd 0.333 0.667 0.711 1
Cd2 Cd 0.667 0.333 0.289 1
Hg1 Hg 0.000 0.000 0.500 1
# Magnetic moment ... 0.0 μB per formula unit
# Crystal system ... trigonal

The most stable of them is x.

--- w ---
# Pr2CdHg | Alexandria | PBE | optimized geometry
data_Pr2CdHg
_chemical_formula_sum 'Pr2 Cd1 Hg1'
_space_group_name_H-M_alt 'P 1'
_space_group_IT_number 1
_space_group_name_Hall 'P 1'
_cell_length_a 5.477
_cell_length_b 5.477
_cell_length_c 5.477
_cell_angle_alpha 60.00
_cell_angle_beta 60.00
_cell_angle_gamma 60.00
loop_
_atom_site_label
_atom_site_type_symbol
_atom_site_fract_x
_atom_site_fract_y
_atom_site_fract_z
_atom_site_occupancy
Pr1 Pr 0.250 0.250 0.250 1
Pr2 Pr 0.750 0.750 0.750 1
Cd1 Cd 0.000 0.000 0.000 1
Hg1 Hg 0.500 0.500 0.500 1
# Magnetic moment ... 1.0 μB per formula unit
# Crystal system ... cubic

--- x ---
# Pr2CdHg | Alexandria | PBE | optimized geometry
data_Pr2CdHg
_chemical_formula_sum 'Pr2 Cd1 Hg1'
_space_group_name_H-M_alt 'P 1'
_space_group_IT_number 1
_space_group_name_Hall 'P 1'
_cell_length_a 10.247
_cell_length_b 10.247
_cell_length_c 10.247
_cell_angle_alpha 21.33
_cell_angle_beta 21.33
_cell_angle_gamma 21.33
loop_
_atom_site_label
_atom_site_type_symbol
_atom_site_fract_x
_atom_site_fract_y
_atom_site_fract_z
_atom_site_occupancy
Pr1 Pr 0.249 0.249 0.249 1
Pr2 Pr 0.751 0.751 0.751 1
Cd1 Cd 0.000 0.000 0.000 1
Hg1 Hg 0.500 0.500 0.500 1
# Magnetic moment ... 0.0 μB per formula unit
# Crystal system ... trigonal

The most stable of them is w.

--- w ---
# Pr2Cd5Hg | Alexandria | PBE | optimized geometry
data_Pr2Cd5Hg
_chemical_formula_sum 'Pr4 Cd10 Hg2'
_space_group_name_H-M_alt 'P 1'
_space_group_IT_number 1
_space_group_name_Hall 'P 1'
_cell_length_a 9.229
_cell_length_b 9.229
_cell_length_c 9.981
_cell_angle_alpha 90.00
_cell_angle_beta 90.00
_cell_angle_gamma 150.35
loop_
_atom_site_label
_atom_site_type_symbol
_atom_site_fract_x
_atom_site_fract_y
_atom_site_fract_z
_atom_site_occupancy
Pr1 Pr 0.000 0.000 0.000 1
Pr2 Pr 0.000 0.000 0.500 1
Pr3 Pr 0.195 0.805 0.750 1
Pr4 Pr 0.805 0.195 0.250 1
Cd1 Cd 0.192 0.808 0.104 1
Cd2 Cd 0.192 0.808 0.396 1
Cd3 Cd 0.355 0.645 0.030 1
Cd4 Cd 0.355 0.645 0.470 1
Cd5 Cd 0.391 0.609 0.750 1
Cd6 Cd 0.609 0.391 0.250 1
Cd7 Cd 0.645 0.355 0.530 1
Cd8 Cd 0.645 0.355 0.970 1
Cd9 Cd 0.808 0.192 0.604 1
Cd10 Cd 0.808 0.192 0.896 1
Hg1 Hg 0.454 0.546 0.250 1
Hg2 Hg 0.546 0.454 0.750 1
# Magnetic moment ... 0.0 μB per formula unit
# Crystal system ... orthorhombic

--- x ---
# Pr2Cd5Hg | Alexandria | PBE | optimized geometry
data_Pr2Cd5Hg
_chemical_formula_sum 'Pr2 Cd5 Hg1'
_space_group_name_H-M_alt 'P 1'
_space_group_IT_number 1
_space_group_name_Hall 'P 1'
_cell_length_a 6.711
_cell_length_b 6.711
_cell_length_c 6.711
_cell_angle_alpha 121.18
_cell_angle_beta 121.18
_cell_angle_gamma 87.97
loop_
_atom_site_label
_atom_site_type_symbol
_atom_site_fract_x
_atom_site_fract_y
_atom_site_fract_z
_atom_site_occupancy
Pr1 Pr 0.000 0.500 0.500 1
Pr2 Pr 0.500 0.000 0.500 1
Cd1 Cd 0.000 0.000 0.000 1
Cd2 Cd 0.000 0.000 0.500 1
Cd3 Cd 0.000 0.500 0.000 1
Cd4 Cd 0.500 0.000 0.000 1
Cd5 Cd 0.500 0.500 0.500 1
Hg1 Hg 0.500 0.500 0.000 1
# Magnetic moment ... 0.0 μB per formula unit
# Crystal system ... tetragonal

The most stable of them is w.